## Na2LiAcI6 (PBE)

Data for a relaxed Na2LiAcI6 crystal.

```
Na2LiAcI6
1.0
8.050 0.001 0.000
4.026 6.969 0.000
4.025 2.323 7.315
Na Li Ac I
2 1 1 6
direct
0.515 0.515 0.455
0.014 0.014 0.957
0.820 0.820 0.540
0.324 0.324 0.029
0.606 0.210 0.264
0.210 0.921 0.264
0.921 0.606 0.264
0.436 0.727 0.747
0.727 0.089 0.747
0.089 0.436 0.747
```

E_tot in eV/atom: -3.131
D(E_F) in states/eV per atom: 0.0000
Raw formation energy in eV per atom: -1.3345
Space-group type: No. 146



## LiAc2IO6 (PBE)

Data for a relaxed LiAc2IO6 crystal.

```
LiAc2IO6
1.0
-1.777 3.703 4.426
-1.281 -2.223 5.466
3.476 1.097 4.597
Li Ac I O
1 2 1 6
direct
0.821 0.821 0.537
0.557 0.557 0.329
0.045 0.045 0.865
0.314 0.314 0.058
0.598 0.157 0.276
0.157 0.969 0.276
0.969 0.598 0.276
0.468 0.629 0.800
0.629 0.103 0.799
0.103 0.468 0.800
```

E_tot in eV/atom: -6.245
D(E_F) in states/eV per atom: 0.0000
Raw formation energy in eV per atom: -2.1024
Space-group type: No. 146



D(E_F) of number 2 (LiAc2IO6)? 0.0000 states/eV per atom



Which of these has the highest E_tot? Na2LiAcI6